Compound: ReAu2Se
Source: the Alexandria database
Functional: SCAN
Structure: PBEsol geometry

Structure (extended XYZ):
```
4
Lattice="-0.001 1.807 -2.387 -1.106 -4.173 -1.281 -4.908 1.779 1.348" Properties=species:S:1:pos:R:3 pbc="T T T"
Se -3.956 -0.252 -0.190
Au -1.822 -0.339 -2.134
Au -0.043 -0.036 -0.027
Re -2.649 1.834 -0.489
```

Calculated values
Formation energy without anion corrections ... 544 meV/atom
Total magnetization ... 0.00 μB per atom